(1)
Crystalline Ca6Cd2Ag at its relaxed geometry. Source: the Alexandria database, functional GGA-PBE.

Lattice parameters (Å, degrees): 5.4036 7.1283 8.5875 83.15 71.66 67.73
Closest atoms and distances in Å follow each position.
Atoms (fractional coordinates):
1 Ca 0.6367 0.2267 0.5000  2 Ag 3.25, 2 Cd 3.34, 1 Ca 3.61
2 Ca 0.9781 0.2175 0.8263  1 Ag 3.25, 3 Cd 3.27-3.29
3 Ca 0.3633 0.7733 0.5000  2 Ag 3.25, 2 Cd 3.34, 1 Ca 3.61
4 Cd 0.6723 0.5000 0.1555  8 Ca 3.27-3.34
5 Ca 0.3044 0.2175 0.1737  1 Ag 3.25, 3 Cd 3.27-3.29
6 Ca 0.6956 0.7825 0.8263  1 Ag 3.25, 3 Cd 3.27-3.29
7 Ag 0.0000 0.5000 0.5000  8 Ca 3.25
8 Cd 0.3277 0.5000 0.8445  8 Ca 3.27-3.34
9 Ca 0.0219 0.7825 0.1737  1 Ag 3.25, 3 Cd 3.27-3.29

Summary:
calculated formation energy = -0.2326 eV per atom

(2)
Crystalline CaCeCdAg at its relaxed geometry. Source: the Alexandria database, functional GGA-PBE.

Lattice parameters (Å, degrees): 5.3476 5.3476 5.3476 60.00 60.00 60.00
Closest atoms and distances in Å follow each position.
Atoms (fractional coordinates):
1 Ce 0.5000 0.5000 0.5000  4 Cd 3.27, 4 Ag 3.27
2 Ag 0.7500 0.7500 0.7500  4 Ce 3.27, 4 Ca 3.27
3 Cd 0.2500 0.2500 0.2500  4 Ce 3.27, 4 Ca 3.27
4 Ca 0.0000 0.0000 0.0000  4 Cd 3.27, 4 Ag 3.27

Summary:
calculated formation energy = -0.2034 eV per atom

(3)
Crystalline CaCdAgCl6 at its relaxed geometry. Source: the Alexandria database, functional GGA-PBE.

Lattice parameters (Å, degrees): 6.5394 6.5394 11.6750 90.00 90.00 90.00
Closest atoms and distances in Å follow each position.
Atoms (fractional coordinates):
1 Cl 0.8072 0.1928 0.1601  1 Cd 2.56, 1 Ca 2.68, 1 Ag 2.84
2 Ca 0.0000 0.0000 0.3317  6 Cl 2.68-2.92
3 Ca 0.5000 0.5000 0.8317  6 Cl 2.68-2.92
4 Cl 0.8093 0.1907 0.5098  1 Ag 2.54, 1 Ca 2.73
5 Cl 0.3159 0.3159 0.3296  1 Ag 2.55, 1 Cd 2.65
6 Cl 0.1928 0.8072 0.1601  1 Cd 2.56, 1 Ca 2.68, 1 Ag 2.84
7 Cl 0.1841 0.8159 0.8296  1 Ag 2.55, 1 Cd 2.65
8 Cd 0.5000 0.5000 0.5030  6 Cl 2.56-2.86
9 Cl 0.6907 0.6907 0.0098  1 Ag 2.54, 1 Ca 2.73
10 Cl 0.6928 0.6928 0.6601  1 Cd 2.56, 1 Ca 2.68, 1 Ag 2.84
11 Ag 0.5000 0.5000 0.1665  6 Cl 2.54-2.84
12 Cl 0.6841 0.6841 0.3296  1 Ag 2.55, 1 Cd 2.65
13 Ag 0.0000 0.0000 0.6665  6 Cl 2.54-2.84
14 Cl 0.1907 0.8093 0.5098  1 Ag 2.54, 1 Ca 2.73
15 Cl 0.3072 0.3072 0.6601  1 Cd 2.56, 1 Ca 2.68, 1 Ag 2.84
16 Cl 0.8159 0.1841 0.8296  1 Ag 2.55, 1 Cd 2.65
17 Cl 0.3093 0.3093 0.0098  1 Ag 2.54, 1 Ca 2.73
18 Cd 0.0000 0.0000 0.0030  6 Cl 2.56-2.86

Summary:
formation energy from raw total energies = -117 kJ/mol of atoms

(4)
Crystalline CaCdAg2Cl6 at its relaxed geometry. Source: the Alexandria database, functional GGA-PBE.

Lattice parameters (Å, degrees): 6.9064 6.9063 7.3659 62.03 62.02 59.99
Closest atoms and distances in Å follow each position.
Atoms (fractional coordinates):
1 Cl 0.7106 0.1030 0.7653  2 Ag 2.67-2.96, 1 Cd 2.71, 1 Ca 2.74
2 Cl 0.2185 0.9328 0.2580  1 Cd 2.64, 2 Ag 2.68-2.95, 1 Ca 2.79
3 Cl 0.1029 0.4211 0.7653  2 Ag 2.67-2.96, 1 Cd 2.71, 1 Ca 2.74
4 Ca 0.8195 0.8196 0.5412  6 Cl 2.74-2.79
5 Cl 0.4209 0.7108 0.7652  2 Ag 2.67-2.96, 1 Cd 2.71, 1 Ca 2.74
6 Cl 0.9328 0.5907 0.2581  1 Cd 2.64, 2 Ag 2.68-2.95, 1 Ca 2.79
7 Cl 0.5910 0.2184 0.2578  1 Cd 2.64, 2 Ag 2.68-2.95, 1 Ca 2.79
8 Cd 0.3196 0.3196 0.0412  6 Cl 2.64-2.71
9 Ag 0.0218 0.0220 0.9344  6 Cl 2.67-2.95
10 Ag 0.5238 0.5236 0.4287  6 Cl 2.68-2.96

Summary:
formation energy from raw total energies = -116 kJ/mol of atoms

(5)
Crystalline CaDyCdAg at its relaxed geometry. Source: the Alexandria database, functional GGA-PBE.

Lattice parameters (Å, degrees): 3.7025 3.7025 7.5643 90.00 90.00 90.00
Closest atoms and distances in Å follow each position.
Atoms (fractional coordinates):
1 Dy 0.0000 0.0000 0.8443  4 Ag 3.10, 4 Cd 3.23
2 Ag 0.5000 0.5000 0.6244  4 Dy 3.10, 4 Ca 3.27
3 Ca 0.0000 0.0000 0.3654  4 Ag 3.27, 4 Cd 3.33, 1 Dy 3.62
4 Cd 0.5000 0.5000 0.0939  4 Dy 3.23, 4 Ca 3.33, 1 Ag 3.55

Summary:
calculated formation energy = -0.3229 eV per atom

(6)
Crystalline CaDyCdAg at its relaxed geometry. Source: the Alexandria database, functional GGA-PBE.

Lattice parameters (Å, degrees): 5.2551 5.2551 5.2551 60.00 60.00 60.00
Closest atoms and distances in Å follow each position.
Atoms (fractional coordinates):
1 Dy 0.5000 0.5000 0.5000  4 Cd 3.22, 4 Ag 3.22
2 Cd 0.7500 0.7500 0.7500  4 Ca 3.22, 4 Dy 3.22
3 Ag 0.2500 0.2500 0.2500  4 Dy 3.22, 4 Ca 3.22
4 Ca 0.0000 0.0000 0.0000  4 Ag 3.22, 4 Cd 3.22

Summary:
calculated formation energy = -0.3003 eV per atom

(7)
Crystalline CaErCdAg at its relaxed geometry. Source: the Alexandria database, functional GGA-PBE.

Lattice parameters (Å, degrees): 3.6769 3.6769 7.5710 90.00 90.00 90.00
Closest atoms and distances in Å follow each position.
Atoms (fractional coordinates):
1 Er 0.0000 0.0000 0.3432  4 Ag 3.07, 4 Cd 3.21
2 Ca 0.0000 0.0000 0.8658  4 Ag 3.27, 4 Cd 3.33, 1 Er 3.61
3 Ag 0.5000 0.5000 0.1275  4 Er 3.07, 4 Ca 3.27
4 Cd 0.5000 0.5000 0.5915  4 Er 3.21, 4 Ca 3.33, 1 Ag 3.51

Summary:
calculated formation energy = -0.3227 eV per atom

(8)
Crystalline CaErCdAg at its relaxed geometry. Source: the Alexandria database, functional GGA-PBE.

Lattice parameters (Å, degrees): 5.2313 5.2313 5.2313 60.00 60.00 60.00
Closest atoms and distances in Å follow each position.
Atoms (fractional coordinates):
1 Er 0.5000 0.5000 0.5000  4 Cd 3.20, 4 Ag 3.20
2 Ag 0.2500 0.2500 0.2500  4 Er 3.20, 4 Ca 3.20
3 Cd 0.7500 0.7500 0.7500  4 Er 3.20, 4 Ca 3.20
4 Ca 0.0000 0.0000 0.0000  4 Ag 3.20, 4 Cd 3.20

Summary:
calculated formation energy = -0.2943 eV per atom

What did the fifth record say?
Crystalline CaDyCdAg at its relaxed geometry. Source: the Alexandria database, functional GGA-PBE.

Lattice parameters (Å, degrees): 3.7025 3.7025 7.5643 90.00 90.00 90.00
Closest atoms and distances in Å follow each position.
Atoms (fractional coordinates):
1 Dy 0.0000 0.0000 0.8443  4 Ag 3.10, 4 Cd 3.23
2 Ag 0.5000 0.5000 0.6244  4 Dy 3.10, 4 Ca 3.27
3 Ca 0.0000 0.0000 0.3654  4 Ag 3.27, 4 Cd 3.33, 1 Dy 3.62
4 Cd 0.5000 0.5000 0.0939  4 Dy 3.23, 4 Ca 3.33, 1 Ag 3.55

Summary:
calculated formation energy = -0.3229 eV per atom